Entry 1:
The following is a DFT calculation (SCAN) of Be2OsRu at its PBEsol-relaxed geometry.

Output
The calculation puts the energy at -28.92 eV per atom. The value obtained for the energy above the lowest structure with this stoichiometry is 0.2386 eV/atom. Its symmetry is F-43m, No. 216.

a = 4.020 Å, b = 4.020 Å, c = 4.020 Å
α = 60.00°, β = 60.00°, γ = 60.00°
Sites, in units of the cell vectors:
Ru: 0.250 0.250 0.250
Os: 0.500 0.500 0.500
Be: 0.000 0.000 0.000
Be: 0.750 0.750 0.750

Entry 2:
The following is a DFT calculation (SCAN) of HfCu3O at its PBEsol-relaxed geometry.

Output
The calculation puts the energy at -20.95 eV per atom. The uncorrected formation energy is 1951.2 meV per atom. Its symmetry is Pm-3m, No. 221.

a = 4.808 Å, b = 4.808 Å, c = 4.808 Å
α = 90.00°, β = 90.00°, γ = 90.00°
Last column: magnetic moment on the atom in μB.
Sites, in units of the cell vectors:
Hf: 0.000 0.000 0.000  0.09
O: 0.500 0.500 0.500  1.24
Cu: 0.000 0.500 0.000  0.06
Cu: 0.000 0.000 0.500  0.06
Cu: 0.500 0.000 0.000  0.06

Entry 3:
The following is a DFT calculation (SCAN) of SrCo2Mo at its PBEsol-relaxed geometry.

Output
The calculation puts the energy at -21.75 eV per atom. Its symmetry is F-43m, No. 216.

a = 4.401 Å, b = 4.401 Å, c = 4.401 Å
α = 60.00°, β = 60.00°, γ = 60.00°
Last column: magnetic moment on the atom in μB.
Sites, in units of the cell vectors:
Sr: 0.250 0.250 0.250  -0.06
Mo: 0.500 0.500 0.500  -1.05
Co: 0.000 0.000 0.000  1.73
Co: 0.750 0.750 0.750  1.33

Entry 4:
The following is a DFT calculation (SCAN) of AgHg2Ru at its PBEsol-relaxed geometry.

Output
The calculation puts the energy at -50.19 eV per atom. The value obtained for the energy above the lowest structure with this stoichiometry is 0.0452 eV/atom. Its symmetry is Imm2, No. 44.

a = 3.024 Å, b = 4.728 Å, c = 5.664 Å
α = 114.67°, β = 105.48°, γ = 90.00°
Last column: magnetic moment on the atom in μB.
Sites, in units of the cell vectors:
Ag: 0.239 0.739 0.479  0.00
Hg: 0.999 0.999 0.998  -0.02
Hg: 0.762 0.262 0.525  0.00
Ru: 0.499 0.499 0.999  1.07